Density functional theory data (GGA-PBE) for crystalline MnVSi at its relaxed geometry.

Output
The calculated volume is 35.5 Å³/cell. The calculation puts the energy relative to the elements, uncorrected at -383 meV per atom. The total magnetization comes out at 0.00 μB per cell.

a = 4.6625 Å, b = 4.6625 Å, c = 4.6625 Å
α = 143.61°, β = 143.61°, γ = 52.41°
Element x y z (fractional)
Mn1 0.0000 0.0000 0.0000
V1 0.6566 0.6566 0.0000
Si1 0.3384 0.3384 0.0000

***

Density functional theory data (GGA-PBE) for crystalline MnVSiW at its relaxed geometry.

Output
The calculated volume is 52.5 Å³/cell. The calculation puts the energy relative to the elements, uncorrected at -148 meV per atom. The total magnetization comes out at 2.02 μB per cell.

a = 4.2027 Å, b = 4.2027 Å, c = 4.2027 Å
α = 60.00°, β = 60.00°, γ = 60.00°
Element x y z (fractional)
Mn1 0.0000 0.0000 0.0000
V1 0.5000 0.5000 0.5000
Si1 0.7500 0.7500 0.7500
W1 0.2500 0.2500 0.2500

***

Density functional theory data (GGA-PBE) for crystalline YMnVSi2 at its relaxed geometry.

Output
The calculated volume is 81.6 Å³/cell. The calculation puts the energy relative to the elements, uncorrected at -594 meV per atom. The total magnetization comes out at 0.71 μB per cell.

a = 6.0283 Å, b = 6.0283 Å, c = 6.0283 Å
α = 142.25°, β = 142.25°, γ = 54.46°
Element x y z (fractional)
Y1 0.0000 0.0000 0.0000
Mn1 0.2500 0.7500 0.5000
V1 0.7500 0.2500 0.5000
Si1 0.3868 0.3868 0.0000
Si2 0.6132 0.6132 0.0000